[1]
Density functional theory data (meta-GGA SCAN) for a crystal of TePRu2 relaxed with PBEsol.

POSCAR file:
```
TePRu2
1.0
3.039 0.000 0.000
0.000 3.695 0.000
0.000 0.000 5.673
Te Ru P
1 2 1
Cartesian
0.000 0.000 2.561
1.520 1.848 1.448
0.000 0.000 5.290
1.520 1.848 4.885
```

Calculated values
Formation energy from raw total energies, eV per atom: -0.08
Distance to the lowest polymorph of the same formula, eV per formula unit: 0.114
VASP energy, eV for the cell shown: -117.62
Symmetry: Pmm2, No. 25
V, Å³ per cell: 63.7

***

[2]
Density functional theory data (meta-GGA SCAN) for a crystal of TeP2Ru relaxed with PBEsol.

POSCAR file:
```
TeP2Ru
1.0
-1.790 1.920 -1.619
-1.467 -3.481 -2.507
-3.388 -0.685 2.934
Ru P Te
1 2 1
Cartesian
-3.323 -1.123 -0.596
-1.694 -0.343 1.467
-0.733 -1.741 -1.254
-0.895 0.960 -0.809
```

Calculated values
Formation energy from raw total energies, eV per atom: 0.79
VASP energy, eV for the cell shown: -89.73
Symmetry: P4/mmm, No. 123
V, Å³ per cell: 63.4

***

[3]
Density functional theory data (meta-GGA SCAN) for a crystal of TeP2Ru relaxed with PBEsol.

POSCAR file:
```
TeP2Ru
1.0
5.956 0.000 0.000
-2.978 5.764 -0.061
0.000 -3.024 5.132
P Ru Te
4 2 2
Cartesian
1.907 0.307 1.909
4.049 -1.205 4.475
1.489 3.732 0.957
-1.489 2.645 2.801
2.978 -1.512 2.566
2.978 2.126 1.253
0.000 0.614 3.818
0.000 0.000 0.000
```

Calculated values
Formation energy from raw total energies, eV per atom: 0.11
VASP energy, eV for the cell shown: -184.85
Symmetry: I-42d, No. 122
V, Å³ per cell: 175.1

***

[4]
Density functional theory data (meta-GGA SCAN) for a crystal of TePRu2 relaxed with PBEsol.

POSCAR file:
```
TePRu2
1.0
3.280 0.000 0.000
0.000 4.276 0.000
0.000 0.000 4.276
P Te Ru
1 1 2
Cartesian
1.640 0.000 0.000
1.640 2.138 2.138
0.000 2.138 0.000
0.000 0.000 2.138
```

Calculated values
Formation energy from raw total energies, eV per atom: 0.30
Distance to the lowest polymorph of the same formula, eV per formula unit: 1.630
VASP energy, eV for the cell shown: -116.10
Symmetry: P4/mmm, No. 123
V, Å³ per cell: 60.0

***

[5]
Density functional theory data (meta-GGA SCAN) for a crystal of Te2PRu relaxed with PBEsol.

POSCAR file:
```
Te2PRu
1.0
-2.799 1.055 -0.386
-1.076 -1.683 3.207
3.767 6.600 2.501
P Ru Te
1 1 2
Cartesian
-1.400 0.527 -0.193
-0.538 -0.841 1.603
1.259 4.325 2.692
-1.367 1.646 2.630
```

Calculated values
Formation energy from raw total energies, eV per atom: 0.18
VASP energy, eV for the cell shown: -119.03
Symmetry: Immm, No. 71
V, Å³ per cell: 86.9

***

[6]
Density functional theory data (meta-GGA SCAN) for a crystal of TiPRu relaxed with PBEsol.

POSCAR file:
```
TiPRu
1.0
-0.758 3.384 -1.060
-4.909 0.083 3.776
5.527 1.886 2.065
Ru Ti P
3 3 3
Cartesian
-1.228 0.021 0.944
1.382 0.472 0.516
0.463 1.476 4.380
-0.122 2.511 1.900
-3.246 1.740 1.675
2.848 2.793 0.676
-0.379 1.692 -0.530
-1.431 0.684 3.205
2.048 1.285 2.635
```

Calculated values
Formation energy, meV/atom: -1113
VASP energy, eV for the cell shown: -193.78
Symmetry: P-62m, No. 189
V, Å³ per cell: 120.5

***

[7]
Density functional theory data (meta-GGA SCAN) for a crystal of TlPRu2 relaxed with PBEsol.

POSCAR file:
```
TlPRu2
1.0
-2.732 0.935 0.429
-0.872 -2.751 0.440
1.285 0.669 6.729
P Ru Tl
1 2 1
Cartesian
-1.160 -0.573 3.799
0.893 0.465 4.678
0.391 0.204 2.050
-1.802 -0.908 0.434
```

Calculated values
Formation energy, meV/atom: 56
VASP energy, eV for the cell shown: -152.18
Symmetry: P4/mmm, No. 123
V, Å³ per cell: 58.6

***

[8]
Density functional theory data (meta-GGA SCAN) for a crystal of Tl2PRu relaxed with PBEsol.

POSCAR file:
```
Tl2PRu
1.0
-0.278 -3.258 0.398
1.567 -2.049 -2.049
7.412 -1.718 4.738
Ru Tl P
1 2 1
Cartesian
2.489 -1.754 1.009
1.586 -5.305 -1.426
6.364 -5.271 2.192
3.901 -3.516 1.203
```

Calculated values
Formation energy, meV/atom: 34
VASP energy, eV for the cell shown: -189.80
Symmetry: R3m, No. 160
V, Å³ per cell: 82.3

***

[9]
Density functional theory data (meta-GGA SCAN) for a crystal of TlP3Ru relaxed with PBEsol.

POSCAR file:
```
TlP3Ru
1.0
-2.768 1.893 -3.159
-2.100 -4.058 -0.591
-3.026 1.085 3.301
P Ru Tl
3 1 1
Cartesian
-1.513 0.543 1.650
-1.050 -2.029 -0.296
-1.384 0.946 -1.580
0.000 0.000 0.000
-3.947 -0.540 -0.225
```

Calculated values
Formation energy, meV/atom: 573
VASP energy, eV for the cell shown: -135.52
Symmetry: Pm-3m, No. 221
V, Å³ per cell: 97.8

***

[10]
Density functional theory data (meta-GGA SCAN) for a crystal of YP2Ru2 relaxed with PBEsol.

POSCAR file:
```
YP2Ru2
1.0
-2.299 -2.391 2.238
2.396 -3.092 -0.843
2.600 3.756 3.106
Ru Y P
2 1 2
Cartesian
0.175 -0.689 3.021
2.522 -1.039 1.480
0.000 0.000 0.000
1.989 0.762 2.856
0.708 -2.489 1.645
```

Calculated values
Formation energy, meV/atom: -1152
VASP energy, eV for the cell shown: -124.05
Symmetry: I4/mmm, No. 139
V, Å³ per cell: 76.0

***

[11]
Density functional theory data (meta-GGA SCAN) for a crystal of YPRu2 relaxed with PBEsol.

POSCAR file:
```
YPRu2
1.0
3.952 0.000 0.000
-1.976 3.512 -0.004
0.000 -1.972 4.975
Ru P Y
2 1 1
Cartesian
1.976 0.354 4.371
0.000 1.187 0.600
1.976 0.000 0.000
0.000 -0.986 2.488
```

Calculated values
Formation energy, meV/atom: -430
VASP energy, eV for the cell shown: -109.61
Symmetry: C2/m, No. 12
V, Å³ per cell: 69.0

***

[12]
Density functional theory data (meta-GGA SCAN) for a crystal of Y2PRu relaxed with PBEsol.

POSCAR file:
```
Y2PRu
1.0
3.929 0.000 0.000
0.000 3.953 0.000
0.000 -1.977 5.186
P Y Ru
1 2 1
Cartesian
0.000 1.977 3.357
1.965 0.000 4.066
0.000 0.000 1.178
1.965 1.977 1.887
```

Calculated values
Formation energy, meV/atom: -1027
Distance to the lowest polymorph of the same formula, eV per formula unit: 0.000
VASP energy, eV for the cell shown: -105.02
Symmetry: Amm2, No. 38
V, Å³ per cell: 80.6

***

[13]
Density functional theory data (meta-GGA SCAN) for a crystal of YP2Ru relaxed with PBEsol.

POSCAR file:
```
YP2Ru
1.0
3.916 0.000 0.000
1.958 4.185 0.044
1.958 0.725 4.122
P Ru Y
2 1 1
Cartesian
3.916 3.425 2.906
3.916 1.485 1.260
1.958 2.455 2.083
1.958 0.000 0.000
```

Calculated values
Formation energy, meV/atom: -772
VASP energy, eV for the cell shown: -86.55
Symmetry: Immm, No. 71
V, Å³ per cell: 67.4

***

[14]
Density functional theory data (meta-GGA SCAN) for a crystal of YPRu2 relaxed with PBEsol.

POSCAR file:
```
YPRu2
1.0
2.980 0.000 0.000
0.000 2.980 0.000
0.000 0.000 7.046
P Ru Y
1 2 1
Cartesian
1.490 1.490 5.677
0.000 0.000 6.834
1.490 1.490 1.543
0.000 0.000 3.559
```

Calculated values
Formation energy, meV/atom: -254
VASP energy, eV for the cell shown: -108.91
Symmetry: P4mm, No. 99
V, Å³ per cell: 62.6

***

[15]
Density functional theory data (meta-GGA SCAN) for a crystal of Y2PRu relaxed with PBEsol.

POSCAR file:
```
Y2PRu
1.0
3.555 0.000 0.000
0.000 4.656 0.000
0.000 0.000 4.656
Y Ru P
2 1 1
Cartesian
0.000 2.328 0.000
0.000 0.000 2.328
1.778 0.000 0.000
1.778 2.328 2.328
```

Calculated values
Formation energy, meV/atom: -768
Distance to the lowest polymorph of the same formula, eV per formula unit: 1.033
VASP energy, eV for the cell shown: -103.98
Symmetry: P4/mmm, No. 123
V, Å³ per cell: 77.1

***

[16]
Density functional theory data (meta-GGA SCAN) for a crystal of Zn2PRu2 relaxed with PBEsol.

POSCAR file:
```
Zn2PRu2
1.0
4.033 0.000 0.000
0.000 5.925 0.000
0.000 0.000 5.925
Ru Zn P
4 4 2
Cartesian
0.000 3.897 0.935
0.000 2.028 4.990
0.000 0.935 2.028
0.000 4.990 3.897
2.017 2.071 0.892
2.017 0.892 3.854
2.017 3.854 5.033
2.017 5.033 2.071
0.000 0.000 0.000
0.000 2.962 2.962
```

Calculated values
Formation energy, meV/atom: -295
VASP energy, eV for the cell shown: -217.11
Symmetry: P4/mbm, No. 127
V, Å³ per cell: 141.6

***

[17]
Density functional theory data (meta-GGA SCAN) for a crystal of ZrPRu relaxed with PBEsol.

POSCAR file:
```
ZrPRu
1.0
-1.467 -0.583 -3.512
-5.743 -1.103 2.582
-1.590 7.077 -0.511
P Ru Zr
4 4 4
Cartesian
-2.643 4.005 -0.616
-5.923 5.272 0.543
-2.876 0.118 -1.984
-6.156 1.386 -0.825
-2.662 2.507 -2.470
-3.868 6.117 -0.456
-4.931 -0.726 -0.986
-6.137 2.884 1.029
-6.275 0.055 1.556
-3.623 1.584 0.195
-2.524 5.335 -2.997
-5.176 3.807 -1.636
```

Calculated values
Formation energy, meV/atom: -1242
VASP energy, eV for the cell shown: -318.60
Symmetry: Pnma, No. 62
V, Å³ per cell: 178.9

***

[18]
Density functional theory data (meta-GGA SCAN) for a crystal of ZrPRu relaxed with PBEsol.

POSCAR file:
```
ZrPRu
1.0
-1.394 -0.604 -2.744
1.275 -3.642 0.153
-3.182 1.067 3.174
Zr P Ru
1 1 1
Cartesian
-2.145 -0.699 1.243
-3.273 -3.169 0.567
-1.183 -2.489 -0.644
```

Calculated values
Formation energy, meV/atom: -423
VASP energy, eV for the cell shown: -77.19
Symmetry: Imm2, No. 44
V, Å³ per cell: 47.1

***

[19]
Density functional theory data (meta-GGA SCAN) for a crystal of ZrPRu relaxed with PBEsol.

POSCAR file:
```
ZrPRu
1.0
-0.143 0.416 3.743
-0.668 -6.332 0.678
5.845 2.614 -0.067
Ru Zr P
3 3 3
Cartesian
-0.163 -1.545 0.165
1.426 0.638 -0.016
3.914 -2.811 0.462
-0.462 -3.491 2.268
3.343 1.735 1.832
2.081 -1.338 2.126
1.503 -3.350 0.430
-0.071 0.208 1.872
3.674 -0.368 0.181
```

Calculated values
Formation energy, meV/atom: -1220
VASP energy, eV for the cell shown: -238.75
Symmetry: P-62m, No. 189
V, Å³ per cell: 133.8

***

[20]
Density functional theory data (meta-GGA SCAN) for a crystal of P2S3 relaxed with PBEsol.

POSCAR file:
```
P2S3
1.0
-0.895 3.790 -1.543
-4.961 -4.034 -7.032
-8.870 0.251 6.113
S P
12 8
Cartesian
-6.813 3.254 1.275
-9.990 -0.787 -2.702
-4.670 -2.452 -4.367
-11.601 -0.254 0.242
-2.720 3.236 -1.310
-12.005 -3.228 -1.152
-6.597 -0.304 -2.967
-8.128 0.311 0.505
-4.736 0.795 0.240
-3.125 0.262 -2.704
-10.055 2.460 1.905
-7.913 -3.246 -3.737
-8.485 0.688 -3.173
-8.045 1.732 2.108
-11.070 0.696 -1.586
-6.240 -0.681 0.712
-3.655 -0.689 -0.875
-6.680 -1.725 -4.570
-1.581 1.635 -2.164
-13.145 -1.627 -0.298
```

Calculated values
Formation energy from raw total energies, eV per atom: -0.18
Distance to the lowest polymorph of the same formula, eV per formula unit: 0.112
VASP energy, eV for the cell shown: -202.30
Symmetry: P2_1/c, No. 14
V, Å³ per cell: 429.0